Ag2SbIr GGA-PBEsol relaxed; total magnetic moment = 0.0000 μB per atom; E_tot = -19.87 eV per formula unit; symmetry = P2/m, No. 10; crystal system = monoclinic; formation energy from raw total energies = 27.4 kJ per mole of atoms
1.0
3.067 0.000 0.000
0.000 5.077 0.000
-0.060 0.000 4.532
Ag Sb Ir
2 1 1
direct
0.246 0.000 0.246
0.754 0.000 0.754
0.000 0.500 0.500
0.500 0.500 0.000